{
  "formula": "CaAu3",
  "functional": "PBE-GGA",
  "state": "optimized geometry",
  "m_tot_mub_per_fu": 0.0,
  "n_ef_per_ev_cell": 4.2,
  "energy_ev_per_atom": -2.328,
  "cell": [[5.648, 0.000, 0.000], [0.000, 5.648, 0.000], [0.000, 0.000, 5.648]],
  "species": ["Ca", "Au", "Au", "Au"],
  "fractional_positions": [[0.000, 0.000, 0.000], [0.000, 0.000, 0.500], [0.000, 0.500, 0.000], [0.500, 0.000, 0.000]]
}

{
  "formula": "LaSb",
  "functional": "PBE-GGA",
  "state": "optimized geometry",
  "m_tot_mub_per_fu": 0.0,
  "raw_formation_energy_ev_per_atom": -1.00,
  "n_ef_per_ev_cell": 0.8,
  "energy_ev_per_atom": -5.522,
  "cell": [[10.983, 0.000, 0.000], [0.000, 10.983, 0.000], [0.000, 0.000, 6.461]],
  "species": ["La", "La", "La", "La", "La", "La", "La", "La", "Sb", "Sb", "Sb", "Sb", "Sb", "Sb", "Sb", "Sb"],
  "fractional_positions": [[0.143, 0.355, 0.000], [0.145, 0.643, 0.500], [0.355, 0.857, 0.000], [0.357, 0.145, 0.500], [0.643, 0.855, 0.500], [0.645, 0.143, 0.000], [0.855, 0.357, 0.500], [0.857, 0.645, 0.000], [0.148, 0.349, 0.500], [0.151, 0.648, 0.000], [0.349, 0.852, 0.500], [0.352, 0.151, 0.000], [0.648, 0.849, 0.000], [0.651, 0.148, 0.500], [0.849, 0.352, 0.000], [0.852, 0.651, 0.500]]
}

{
  "formula": "Zn2GaMo",
  "functional": "PBE-GGA",
  "state": "optimized geometry",
  "m_tot_mub_per_fu": 0.3,
  "n_ef_per_ev_cell": 2.4,
  "energy_ev_per_atom": -4.126,
  "cell": [[3.805, 0.000, 0.000], [0.000, 3.805, 0.000], [0.000, 0.000, 4.069]],
  "species": ["Zn", "Zn", "Ga", "Mo"],
  "fractional_positions": [[0.000, 0.500, 0.000], [0.500, 0.000, 0.000], [0.000, 0.000, 0.500], [0.500, 0.500, 0.500]]
}

{
  "formula": "LiTi2NbGe",
  "functional": "PBE-GGA",
  "state": "optimized geometry",
  "m_tot_mub_per_fu": 0.0,
  "n_ef_per_ev_cell": 5.0,
  "energy_ev_per_atom": -5.938,
  "cell": [[4.756, 0.000, 0.000], [0.000, 4.756, 0.000], [0.000, 0.000, 4.159]],
  "species": ["Li", "Ti", "Ti", "Nb", "Ge"],
  "fractional_positions": [[0.000, 0.000, 0.000], [0.000, 0.500, 0.500], [0.500, 0.000, 0.500], [0.500, 0.500, 0.000], [0.000, 0.000, 0.500]]
}

{
  "formula": "HfBeF2",
  "functional": "PBE-GGA",
  "state": "optimized geometry",
  "polymorph_energy_mev_per_atom": 386,
  "m_tot_mub_per_fu": 0.3,
  "raw_formation_energy_ev_per_atom": -1.24,
  "n_ef_per_ev_cell": 6.0,
  "energy_ev_per_atom": -5.598,
  "cell": [[0.000, 3.793, 3.793], [3.793, 0.000, 3.793], [3.793, 3.793, 0.000]],
  "species": ["Hf", "Hf", "Be", "Be", "F", "F", "F", "F"],
  "fractional_positions": [[0.125, 0.125, 0.125], [0.875, 0.875, 0.875], [0.375, 0.375, 0.375], [0.625, 0.625, 0.625], [0.000, 0.500, 0.500], [0.500, 0.000, 0.500], [0.500, 0.500, 0.000], [0.500, 0.500, 0.500]]
}

{
  "formula": "AcPm2PrY",
  "functional": "PBE-GGA",
  "state": "optimized geometry",
  "m_tot_mub_per_fu": 0.0,
  "n_ef_per_ev_cell": 18.2,
  "energy_ev_per_atom": -4.623,
  "cell": [[4.292, -6.076, 0.000], [4.292, 6.076, 0.000], [0.000, 0.000, 7.402]],
  "species": ["Ac", "Ac", "Pm", "Pm", "Pm", "Pm", "Pr", "Pr", "Y", "Y"],
  "fractional_positions": [[0.237, 0.763, 0.750], [0.763, 0.237, 0.250], [0.187, 0.187, 0.000], [0.187, 0.187, 0.500], [0.813, 0.813, 0.000], [0.813, 0.813, 0.500], [0.494, 0.506, 0.250], [0.506, 0.494, 0.750], [0.218, 0.782, 0.250], [0.782, 0.218, 0.750]]
}

{
  "formula": "BaTm2Tl2",
  "functional": "PBE-GGA",
  "state": "optimized geometry",
  "m_tot_mub_per_fu": 0.0,
  "n_ef_per_ev_cell": 11.8,
  "energy_ev_per_atom": -3.155,
  "cell": [[3.815, -8.127, 0.000], [3.815, 8.127, 0.000], [-3.773, 0.000, 6.195]],
  "species": ["Ba", "Ba", "Tm", "Tm", "Tm", "Tm", "Tl", "Tl", "Tl", "Tl"],
  "fractional_positions": [[0.125, 0.875, 0.750], [0.875, 0.125, 0.250], [0.267, 0.733, 0.250], [0.483, 0.517, 0.250], [0.517, 0.483, 0.750], [0.733, 0.267, 0.750], [0.167, 0.417, 0.834], [0.417, 0.167, 0.334], [0.583, 0.833, 0.666], [0.833, 0.583, 0.166]]
}

{
  "formula": "Nd3Cd2Hg8",
  "functional": "PBE-GGA",
  "state": "optimized geometry",
  "m_tot_mub_per_fu": 0.0,
  "n_ef_per_ev_cell": 12.6,
  "energy_ev_per_atom": -1.551,
  "cell": [[3.042, 1.756, 11.188], [-3.042, 1.756, 11.188], [0.000, -3.513, 11.188]],
  "species": ["Nd", "Nd", "Nd", "Cd", "Cd", "Hg", "Hg", "Hg", "Hg", "Hg", "Hg", "Hg", "Hg"],
  "fractional_positions": [[0.000, 0.000, 0.000], [0.191, 0.191, 0.191], [0.809, 0.809, 0.809], [0.367, 0.367, 0.367], [0.633, 0.633, 0.633], [0.226, 0.727, 0.727], [0.273, 0.273, 0.774], [0.273, 0.774, 0.273], [0.284, 0.284, 0.284], [0.716, 0.716, 0.716], [0.727, 0.226, 0.727], [0.727, 0.727, 0.226], [0.774, 0.273, 0.273]]
}

{
  "formula": "MgGeRu",
  "functional": "PBE-GGA",
  "state": "optimized geometry",
  "m_tot_mub_per_fu": 0.0,
  "n_ef_per_ev_cell": 3.3,
  "energy_ev_per_atom": -5.330,
  "cell": [[4.299, 0.000, 0.000], [0.000, 4.299, 0.000], [0.000, 0.000, 5.844]],
  "species": ["Mg", "Mg", "Ge", "Ge", "Ru", "Ru"],
  "fractional_positions": [[0.000, 0.500, 0.000], [0.500, 0.000, 0.500], [0.000, 0.500, 0.500], [0.500, 0.000, 0.000], [0.000, 0.000, 0.250], [0.000, 0.000, 0.750]]
}

{
  "formula": "NaSr3Cd",
  "functional": "PBE-GGA",
  "state": "optimized geometry",
  "polymorph_energy_mev_per_atom": 0,
  "m_tot_mub_per_fu": 0.0,
  "n_ef_per_ev_cell": 8.8,
  "energy_ev_per_atom": -1.557,
  "cell": [[5.483, 0.000, 0.000], [0.000, 10.349, 0.000], [0.000, 0.000, 7.690]],
  "species": ["Na", "Na", "Sr", "Sr", "Sr", "Sr", "Sr", "Sr", "Cd", "Cd"],
  "fractional_positions": [[0.250, 0.250, 0.067], [0.750, 0.750, 0.933], [0.250, 0.549, 0.712], [0.250, 0.750, 0.250], [0.250, 0.951, 0.712], [0.750, 0.049, 0.288], [0.750, 0.250, 0.750], [0.750, 0.451, 0.288], [0.250, 0.250, 0.475], [0.750, 0.750, 0.525]]
}

{
  "formula": "UPdRh",
  "functional": "PBE-GGA",
  "state": "optimized geometry",
  "polymorph_energy_mev_per_atom": 35,
  "m_tot_mub_per_fu": 1.4,
  "n_ef_per_ev_cell": 12.1,
  "energy_ev_per_atom": -8.240,
  "cell": [[2.519, 1.454, 5.260], [-2.519, 1.454, 5.260], [0.000, -2.908, 5.260]],
  "species": ["U", "U", "Pd", "Pd", "Rh", "Rh"],
  "fractional_positions": [[0.242, 0.242, 0.242], [0.758, 0.758, 0.758], [0.413, 0.413, 0.413], [0.587, 0.587, 0.587], [0.084, 0.084, 0.084], [0.916, 0.916, 0.916]]
}

{
  "formula": "Si2AuSe",
  "functional": "PBE-GGA",
  "state": "optimized geometry",
  "m_tot_mub_per_fu": 0.0,
  "raw_formation_energy_ev_per_atom": 0.45,
  "n_ef_per_ev_cell": 3.6,
  "energy_ev_per_atom": -3.949,
  "cell": [[6.603, 0.000, 0.000], [0.000, 6.750, 0.000], [0.000, 0.000, 3.241]],
  "species": ["Si", "Si", "Si", "Si", "Au", "Au", "Se", "Se"],
  "fractional_positions": [[0.250, 0.250, 0.000], [0.250, 0.750, 0.000], [0.750, 0.250, 0.000], [0.750, 0.750, 0.000], [0.000, 0.000, 0.500], [0.500, 0.500, 0.500], [0.000, 0.500, 0.500], [0.500, 0.000, 0.500]]
}